[1]
# CaI2NF (GGA-PBE, optimized geometry)
# N(E_F) = 7.721 states/eV/f.u.
# Electronic total energy = -2.87 eV per atom
# Formation energy from raw total energies = 0.186 eV/atom
data_CaI2NF
_chemical_formula_sum 'Ca1 I2 N1 F1'
_space_group_name_H-M_alt 'P 4/m m m'
_space_group_IT_number 123
_space_group_name_Hall '-P 4 2'
_cell_length_a 6.119
_cell_length_b 6.119
_cell_length_c 4.726
_cell_angle_alpha 90.00
_cell_angle_beta 90.00
_cell_angle_gamma 90.00
loop_
_atom_site_label
_atom_site_type_symbol
_atom_site_fract_x
_atom_site_fract_y
_atom_site_fract_z
Ca1 Ca 0.000 0.000 0.000
I1 I 0.000 0.500 0.000
N1 N 0.000 0.000 0.500
F1 F 0.500 0.500 0.500

=====

[2]
# Sm4Ni3Ir (GGA-PBE, optimized geometry)
# N(E_F) = 6.165 states/eV/f.u.
# Energy relative to the elements = -463 meV per atom
# Electronic total energy = -6.10 eV per atom
data_Sm4Ni3Ir
_chemical_formula_sum 'Sm4 Ni3 Ir1'
_space_group_name_H-M_alt 'P m m 2'
_space_group_IT_number 25
_cell_length_a 3.866
_cell_length_b 4.268
_cell_length_c 10.525
_cell_angle_alpha 90.00
_cell_angle_beta 90.00
_cell_angle_gamma 90.00
loop_
_space_group_symop_operation_xyz
'x,y,z'
'-x,-y,z'
'-x,y,z'
'x,-y,z'
loop_
_atom_site_label
_atom_site_type_symbol
_atom_site_fract_x
_atom_site_fract_y
_atom_site_fract_z
Sm1 Sm 0.000 0.000 0.000
Sm2 Sm 0.000 0.500 0.277
Sm3 Sm 0.500 0.000 0.499
Sm4 Sm 0.500 0.500 0.781
Ni1 Ni 0.000 0.500 0.560
Ni2 Ni 0.500 0.000 0.209
Ni3 Ni 0.500 0.500 0.073
Ir1 Ir 0.000 0.000 0.716

=====

[3]
# YMnPd2 (GGA-PBE, optimized geometry)
# N(E_F) = 2.038 states/eV/f.u.
# Energy relative to the elements = -69 meV per atom
# Electronic total energy = -6.57 eV per atom
data_YMnPd2
_chemical_formula_sum 'Y4 Mn4 Pd8'
_space_group_name_H-M_alt 'I -4 2 d'
_space_group_IT_number 122
_space_group_name_Hall 'I -4 2bw'
_cell_length_a 4.207
_cell_length_b 4.207
_cell_length_c 18.067
_cell_angle_alpha 90.00
_cell_angle_beta 90.00
_cell_angle_gamma 90.00
loop_
_atom_site_label
_atom_site_type_symbol
_atom_site_fract_x
_atom_site_fract_y
_atom_site_fract_z
Y1 Y 0.000 0.000 0.000
Mn1 Mn 0.000 0.000 0.500
Pd1 Pd 0.212 0.250 0.625

=====

[4]
# Ce4AlIr4 (GGA-PBE, optimized geometry)
# N(E_F) = 8.411 states/eV/f.u.
# Energy relative to the elements = -669 meV per atom
# Electronic total energy = -7.66 eV per atom
data_Ce4AlIr4
_chemical_formula_sum 'Ce8 Al2 Ir8'
_space_group_name_H-M_alt 'I 4/m'
_space_group_IT_number 87
_space_group_name_Hall '-I 4'
_cell_length_a 8.816
_cell_length_b 8.816
_cell_length_c 5.415
_cell_angle_alpha 90.00
_cell_angle_beta 90.00
_cell_angle_gamma 90.00
loop_
_atom_site_label
_atom_site_type_symbol
_atom_site_fract_x
_atom_site_fract_y
_atom_site_fract_z
Ce1 Ce 0.086 0.297 0.000
Al1 Al 0.000 0.000 0.500
Ir1 Ir 0.087 0.267 0.500

=====

[5]
# AlSeCl2 (GGA-PBE, optimized geometry)
# N(E_F) = 1.954 states/eV/f.u.
# Excess energy over the best structure of this formula in the dataset = 0 meV/atom
# Electronic total energy = -3.64 eV per atom
# Formation energy from raw total energies = -0.908 eV/atom
data_AlSeCl2
_chemical_formula_sum 'Al2 Se2 Cl4'
_space_group_name_H-M_alt 'C m m m'
_space_group_IT_number 65
_space_group_name_Hall '-C 2 2'
_cell_length_a 5.254
_cell_length_b 13.020
_cell_length_c 3.182
_cell_angle_alpha 90.00
_cell_angle_beta 90.00
_cell_angle_gamma 90.00
loop_
_atom_site_label
_atom_site_type_symbol
_atom_site_fract_x
_atom_site_fract_y
_atom_site_fract_z
Al1 Al 0.000 0.000 0.000
Se1 Se 0.000 0.500 0.000
Cl1 Cl 0.000 0.127 0.500

=====

[6]
# SrTl3Pd (GGA-PBE, optimized geometry)
# N(E_F) = 4.315 states/eV/f.u.
# Energy relative to the elements = -149 meV per atom
# Excess energy over the best structure of this formula in the dataset = 158 meV/atom
# Electronic total energy = -2.94 eV per atom
data_SrTl3Pd
_chemical_formula_sum 'Sr1 Tl3 Pd1'
_space_group_name_H-M_alt 'P m -3 m'
_space_group_IT_number 221
_space_group_name_Hall '-P 4 2 3'
_cell_length_a 5.393
_cell_length_b 5.393
_cell_length_c 5.393
_cell_angle_alpha 90.00
_cell_angle_beta 90.00
_cell_angle_gamma 90.00
loop_
_atom_site_label
_atom_site_type_symbol
_atom_site_fract_x
_atom_site_fract_y
_atom_site_fract_z
Sr1 Sr 0.000 0.000 0.000
Tl1 Tl 0.000 0.500 0.500
Pd1 Pd 0.500 0.500 0.500

=====

[7]
# Hf2AgGePd (GGA-PBE, optimized geometry)
# N(E_F) = 6.465 states/eV/f.u.
# Energy relative to the elements = 477 meV per atom
# Electronic total energy = -6.04 eV per atom
data_Hf2AgGePd
_chemical_formula_sum 'Hf2 Ag1 Ge1 Pd1'
_space_group_name_H-M_alt 'P 4/m m m'
_space_group_IT_number 123
_space_group_name_Hall '-P 4 2'
_cell_length_a 5.051
_cell_length_b 5.051
_cell_length_c 4.589
_cell_angle_alpha 90.00
_cell_angle_beta 90.00
_cell_angle_gamma 90.00
loop_
_atom_site_label
_atom_site_type_symbol
_atom_site_fract_x
_atom_site_fract_y
_atom_site_fract_z
Hf1 Hf 0.000 0.500 0.000
Ag1 Ag 0.000 0.000 0.500
Ge1 Ge 0.500 0.500 0.500
Pd1 Pd 0.500 0.500 0.000

=====

[8]
# Nd6Zn5Pb (GGA-PBE, optimized geometry)
# N(E_F) = 14.006 states/eV/f.u.
# Energy relative to the elements = -336 meV per atom
# Electronic total energy = -3.56 eV per atom
data_Nd6Zn5Pb
_chemical_formula_sum 'Nd12 Zn10 Pb2'
_space_group_name_H-M_alt 'C 1 2/m 1'
_space_group_IT_number 12
_cell_length_a 9.157
_cell_length_b 15.870
_cell_length_c 5.266
_cell_angle_alpha 90.00
_cell_angle_beta 125.04
_cell_angle_gamma 90.00
loop_
_space_group_symop_operation_xyz
'x,y,z'
'-x,-y,-z'
'-x,y,-z'
'x,-y,z'
'x+1/2,y+1/2,z'
'-x+1/2,-y+1/2,-z'
'-x+1/2,y+1/2,-z'
'x+1/2,-y+1/2,z'
loop_
_atom_site_label
_atom_site_type_symbol
_atom_site_fract_x
_atom_site_fract_y
_atom_site_fract_z
Nd1 Nd 0.237 0.000 0.237
Nd2 Nd 0.243 0.172 0.743
Zn1 Zn 0.000 0.000 0.500
Zn2 Zn 0.000 0.168 0.000
Zn3 Zn 0.000 0.333 0.500
Pb1 Pb 0.000 0.500 0.000

=====

[9]
# Tb4Ho3Se8 (GGA-PBE, optimized geometry)
# N(E_F) = 6.152 states/eV/f.u.
# Electronic total energy = -5.84 eV per atom
# Formation energy from raw total energies = -1.831 eV/atom
data_Tb4Ho3Se8
_chemical_formula_sum 'Tb8 Ho6 Se16'
_space_group_name_H-M_alt 'C 1 2/m 1'
_space_group_IT_number 12
_cell_length_a 11.489
_cell_length_b 11.492
_cell_length_c 8.123
_cell_angle_alpha 90.00
_cell_angle_beta 134.97
_cell_angle_gamma 90.00
loop_
_space_group_symop_operation_xyz
'x,y,z'
'-x,-y,-z'
'-x,y,-z'
'x,-y,z'
'x+1/2,y+1/2,z'
'-x+1/2,-y+1/2,-z'
'-x+1/2,y+1/2,-z'
'x+1/2,-y+1/2,z'
loop_
_atom_site_label
_atom_site_type_symbol
_atom_site_fract_x
_atom_site_fract_y
_atom_site_fract_z
Tb1 Tb 0.000 0.000 0.000
Tb2 Tb 0.000 0.500 0.500
Tb3 Tb 0.250 0.250 0.000
Ho1 Ho 0.000 0.500 0.000
Ho2 Ho 0.250 0.250 0.500
Se1 Se 0.000 0.246 0.500
Se2 Se 0.000 0.251 0.000
Se3 Se 0.247 0.000 0.502
Se4 Se 0.247 0.000 0.991

=====

[10]
# RbIrN2 (GGA-PBE, optimized geometry)
# N(E_F) = 1.406 states/eV/f.u.
# Excess energy over the best structure of this formula in the dataset = 427 meV/atom
# Electronic total energy = -5.84 eV per atom
# Formation energy from raw total energies = 0.784 eV/atom
data_RbIrN2
_chemical_formula_sum 'Rb3 Ir3 N6'
_space_group_name_H-M_alt 'R -3 m'
_space_group_IT_number 166
_space_group_name_Hall '-R 3 2"'
_cell_length_a 3.3804
_cell_length_b 3.3804
_cell_length_c 19.9744
_cell_angle_alpha 90.00
_cell_angle_beta 90.00
_cell_angle_gamma 120.00
loop_
_atom_site_label
_atom_site_type_symbol
_atom_site_fract_x
_atom_site_fract_y
_atom_site_fract_z
Rb1 Rb 0.0000 0.0000 0.0000
Ir1 Ir 0.0000 0.0000 0.5000
N1 N 0.0000 0.0000 0.1311

=====

[11]
# Rb5Sb2Te6 (GGA-PBE, optimized geometry)
# N(E_F) = 1.160 states/eV/f.u.
# Electronic total energy = -3.15 eV per atom
# Formation energy from raw total energies = -0.697 eV/atom
data_Rb5Sb2Te6
_chemical_formula_sum 'Rb10 Sb4 Te12'
_space_group_name_H-M_alt 'P b a m'
_space_group_IT_number 55
_cell_length_a 14.264
_cell_length_b 15.595
_cell_length_c 5.497
_cell_angle_alpha 90.00
_cell_angle_beta 90.00
_cell_angle_gamma 90.00
loop_
_space_group_symop_operation_xyz
'x,y,z'
'-x,-y,-z'
'-x,-y,z'
'x,y,-z'
'x+1/2,-y+1/2,-z'
'-x+1/2,y+1/2,z'
'-x+1/2,y+1/2,-z'
'x+1/2,-y+1/2,z'
loop_
_atom_site_label
_atom_site_type_symbol
_atom_site_fract_x
_atom_site_fract_y
_atom_site_fract_z
Rb1 Rb 0.000 0.000 0.000
Rb2 Rb 0.059 0.264 0.000
Rb3 Rb 0.189 0.522 0.000
Sb1 Sb 0.192 0.725 0.500
Te1 Te 0.044 0.605 0.500
Te2 Te 0.150 0.115 0.500
Te3 Te 0.188 0.801 0.000

=====

[12]
# SrAg2Cl6 (GGA-PBE, optimized geometry)
# N(E_F) = 5.789 states/eV/f.u.
# Excess energy over the best structure of this formula in the dataset = 0 meV/atom
# Electronic total energy = -3.03 eV per atom
# Formation energy from raw total energies = -0.975 eV/atom
data_SrAg2Cl6
_chemical_formula_sum 'Sr4 Ag8 Cl24'
_space_group_name_H-M_alt 'C 1 2/c 1'
_space_group_IT_number 15
_cell_length_a 14.724
_cell_length_b 10.636
_cell_length_c 8.011
_cell_angle_alpha 90.00
_cell_angle_beta 110.68
_cell_angle_gamma 90.00
loop_
_space_group_symop_operation_xyz
'x,y,z'
'-x,-y,-z'
'-x,y,-z+1/2'
'x,-y,z+1/2'
'x+1/2,y+1/2,z'
'-x+1/2,-y+1/2,-z'
'-x+1/2,y+1/2,-z+1/2'
'x+1/2,-y+1/2,z+1/2'
loop_
_atom_site_label
_atom_site_type_symbol
_atom_site_fract_x
_atom_site_fract_y
_atom_site_fract_z
Sr1 Sr 0.000 0.158 0.250
Ag1 Ag 0.215 0.459 0.287
Cl1 Cl 0.074 0.353 0.084
Cl2 Cl 0.111 0.002 0.060
Cl3 Cl 0.209 0.371 0.572